# 1
Cs8CdAu2 PBE relaxed; offset from the most stable computed form = 30 meV per atom
1.0
7.438 0.000 0.000
-0.001 10.547 -6.088
0.000 -0.002 12.179
Au Cs Cd
2 8 1
direct
0.258 0.333 0.667
0.742 0.667 0.333
0.257 0.166 0.334
0.743 0.334 0.167
0.758 0.333 0.667
0.257 0.167 0.834
0.743 0.833 0.166
0.743 0.834 0.666
0.257 0.666 0.833
0.242 0.667 0.333
0.000 0.000 0.000


# 2
Y3AsO6 PBE relaxed; energy relative to the elements, uncorrected = -2.93 eV/atom
1.0
5.893 0.000 0.000
0.000 7.121 -0.004
0.000 -1.593 6.941
O As Y
12 2 6
direct
0.711 0.324 0.349
0.215 0.038 0.962
0.168 0.101 0.590
0.211 0.349 0.324
0.715 0.962 0.038
0.668 0.899 0.410
0.075 0.779 0.221
0.211 0.676 0.651
0.168 0.410 0.899
0.668 0.590 0.101
0.711 0.651 0.676
0.575 0.221 0.779
0.531 0.825 0.175
0.031 0.175 0.825
0.482 0.913 0.697
0.982 0.087 0.303
0.982 0.697 0.913
0.944 0.597 0.403
0.482 0.303 0.087
0.444 0.403 0.597


no.,uncorrected energy (eV per cell)
1,-15.1
2,-166.2